Entry 1:
This record from Alexandria via LeMat-Bulk describes a PBEsol-optimized structure of BeCdSb2Te. The functional is SCAN.

- E_form (uncorrected) (eV/atom) = 0.4785
- space group = P4/mmm, No. 123

Unit cell a=4.844 b=4.844 c=5.135 alpha=90.00 beta=90.00 gamma=90.00
Element x y z (fractional)
Be (0.000, 0.000, 0.000)
Cd (0.500, 0.500, 0.500)
Sb (0.000, 0.500, 0.000)
Sb (0.500, 0.000, 0.000)
Te (0.000, 0.000, 0.500)

***

Entry 2:
This record from Alexandria via LeMat-Bulk describes a PBEsol-optimized structure of ScBe2Cd. The functional is SCAN.

- E above lowest polymorph (meV per atom) = 85
- space group = Pmmm, No. 47
- formation energy from the elements (eV/atom) = 0.1357

Unit cell a=3.044 b=4.096 c=5.108 alpha=90.00 beta=90.00 gamma=90.00
Element x y z (fractional)
Sc (0.000, 0.000, 0.000)
Be (0.500, 0.500, 0.216)
Be (0.500, 0.500, 0.784)
Cd (0.500, 0.000, 0.500)

***

Entry 3:
This record from Alexandria via LeMat-Bulk describes a PBEsol-optimized structure of ScBe2Cd. The functional is SCAN.

- E above lowest polymorph (meV per atom) = 0
- space group = P4mm, No. 99
- formation energy from the elements (eV/atom) = 0.0507

Unit cell a=2.888 b=2.888 c=6.930 alpha=90.00 beta=90.00 gamma=90.00
Element x y z (fractional)
Sc (0.000, 0.000, 0.000)
Be (0.000, 0.000, 0.403)
Be (0.500, 0.500, 0.260)
Cd (0.500, 0.500, 0.661)

***

Entry 4:
This record from Alexandria via LeMat-Bulk describes a PBEsol-optimized structure of Sc2BeCd. The functional is SCAN.

- E above lowest polymorph (meV per atom) = 388
- space group = R3m, No. 160
- formation energy from the elements (eV/atom) = 0.1554

Unit cell a=8.923 b=8.923 c=8.923 alpha=20.82 beta=20.82 gamma=20.82
Element x y z (fractional)
Sc (0.000, 0.000, 0.000)
Sc (0.233, 0.233, 0.233)
Be (0.493, 0.493, 0.493)
Cd (0.760, 0.760, 0.760)

***

Entry 5:
This record from Alexandria via LeMat-Bulk describes a PBEsol-optimized structure of Sc2BeCd. The functional is SCAN.

- E above lowest polymorph (meV per atom) = 0
- space group = P4/mmm, No. 123
- formation energy from the elements (eV/atom) = -0.2323

Unit cell a=3.222 b=3.222 c=6.983 alpha=90.00 beta=90.00 gamma=90.00
Element x y z (fractional)
Sc (0.000, 0.000, 0.214)
Sc (0.000, 0.000, 0.786)
Be (0.500, 0.500, 0.000)
Cd (0.500, 0.500, 0.500)

***

Entry 6:
This record from Alexandria via LeMat-Bulk describes a PBEsol-optimized structure of Sc2BeCd. The functional is SCAN.

- E above lowest polymorph (meV per atom) = 136
- space group = Cm, No. 8
- formation energy from the elements (eV/atom) = -0.0964

Unit cell a=5.670 b=5.670 c=4.741 alpha=114.64 beta=114.64 gamma=32.57
Element x y z (fractional)
Sc (0.000, 0.000, 0.000)
Sc (0.211, 0.211, 0.711)
Be (0.733, 0.733, 0.233)
Cd (0.427, 0.427, 0.427)

***

Number 1: total magnetic moment 0.000 μB/f.u., calculated volume 24.099 Å³ per atom. Number 2: total magnetic moment 0.000 μB/f.u., calculated volume 15.917 Å³ per atom. Number 3: total magnetic moment 0.130 μB/f.u., calculated volume 14.450 Å³ per atom. Number 4: total magnetic moment 0.957 μB/f.u., calculated volume 19.652 Å³ per atom. Number 5: total magnetic moment 0.001 μB/f.u., calculated volume 18.121 Å³ per atom. Number 6: total magnetic moment 0.883 μB/f.u., calculated volume 18.479 Å³ per atom.